8
Lattice="-1.6995 -2.4424 3.2819 2.4243 -3.4639 -1.3224 7.1822 -0.2860 6.4960" Properties=species:S:1:pos:R:3 comment="LiTl2Co | Alexandria via LeMat-Bulk | PBE | relaxed" formation_enthalpy_0k_ev_per_atom=0.486 dos_ef_per_ev_atom=1.442 final_energy_ev_per_atom=-2.95 magnetic_moment_mub_per_fu=1.5 sg=I-42d pbc="T T T"
Tl 5.6249 -2.3813 5.6252
Tl 1.0129 -2.0649 3.5555
Tl 6.0546 -5.4306 6.5682
Co 2.9226 -2.8408 5.3789
Tl 3.1219 -2.5078 1.1622
Li 4.9845 -3.3515 3.0767
Li 0.3624 -2.9531 0.9798
Co 0.0000 0.0000 0.0000